A plane-wave DFT calculation with GGA-PBE was carried out for a relaxed structure of MnBeAu2.

a = 4.423 Å, b = 4.423 Å, c = 4.423 Å
α = 60.00°, β = 60.00°, γ = 60.00°
Element x y z (fractional)
1 Be 0.500 0.500 0.500
2 Mn 0.750 0.750 0.750
3 Au 0.000 0.000 0.000
4 Au 0.250 0.250 0.250

Calculated values
electronic total energy = -18.921 eV per cell
N(E_F) = 1.82 states/eV/f.u.
M_tot = 3.9 μB per formula unit
space-group type = No. 216
formation enthalpy at 0 K = 132 meV/atom